[1]
LiThIr4: optimized geometry, PBE.

Results
E = -8.005 eV/atom
Formation enthalpy at 0 K = -3.25 eV/f.u.
Total magnetic moment = 0.001 μB/f.u.

a b c (Å): 7.540 7.540 7.540
angles (deg): 90.00 90.00 90.00
Space group F-43m (No. 216)
One atom of each set of equivalent atoms:
Li (0.000, 0.000, 0.000) (multiplicity 4)
Th (0.250, 0.250, 0.250) (multiplicity 4)
Ir (0.126, 0.126, 0.626) (multiplicity 16)

=====

[2]
Li2Th3Ir7: optimized geometry, PBE.

Results
E = -7.963 eV/atom
Formation enthalpy at 0 K = -7.44 eV/f.u.
Total magnetic moment = 0.000 μB/f.u.

a b c (Å): 5.4508 5.4508 25.1126
angles (deg): 90.00 90.00 120.00
Space group R-3m (No. 166, hexagonal axes)
One atom of each set of equivalent atoms:
Li (0.0000, 0.0000, 0.1640) (multiplicity 6)
Th (0.0000, 0.0000, 0.3603) (multiplicity 6)
Th (0.0000, 0.0000, 0.5000) (multiplicity 3)
Ir (0.0000, 0.0000, 0.0000) (multiplicity 3)
Ir (0.0059, 0.5030, 0.4184) (multiplicity 18)

=====

[3]
LiThIr: optimized geometry, PBE.

Results
E = -6.429 eV/atom
Formation enthalpy at 0 K = -1.09 eV/f.u.
Total magnetic moment = 0.000 μB/f.u.
ΔE to the lowest computed polymorph = 0.283 eV/atom

a b c (Å): 3.824 3.824 8.898
angles (deg): 90.00 90.00 90.00
Space group I4mm (No. 107)
One atom of each set of equivalent atoms:
Li (0.000, 0.000, 0.000) (multiplicity 2)
Th (0.000, 0.000, 0.314) (multiplicity 2)
Ir (0.000, 0.000, 0.698) (multiplicity 2)

=====

[4]
Li4ThIr2: optimized geometry, PBE.

Results
E = -4.996 eV/atom
Formation enthalpy at 0 K = -2.17 eV/f.u.
Total magnetic moment = 0.000 μB/f.u.

a b c (Å): 7.745 7.745 3.970
angles (deg): 90.00 90.00 90.00
Space group P4_2/mnm (No. 136)
One atom of each set of equivalent atoms:
Li (0.104, 0.352, 0.000) (multiplicity 8)
Th (0.000, 0.000, 0.500) (multiplicity 2)
Ir (0.185, 0.815, 0.000) (multiplicity 4)